Below is a crystal of Hf3SiPb relaxed with PBEsol, with properties calculated at the meta-GGA SCAN level.

a = 4.8583 Å, b = 4.8583 Å, c = 4.8583 Å
α = 90.00°, β = 90.00°, γ = 90.00°
With the nearest neighbours (Å) after each atom.
Positions (direct):
1 Hf 0.0000 0.0000 0.5000  2 Si 2.43
2 Hf 0.0000 0.5000 0.0000  2 Si 2.43
3 Hf 0.5000 0.0000 0.0000  2 Si 2.43
4 Pb 0.5000 0.5000 0.5000  12 Hf 3.44
5 Si 0.0000 0.0000 0.0000  6 Hf 2.43

Properties
The calculation puts the calculated density at 11161 kg/m³. As for the uncorrected formation energy: 0.163 eV per atom. As for the density of states at the Fermi level: 0.6326 states/eV per atom.